MnZnF5: optimized geometry, GGA+U. Values from VASP.

Structure (Quantum ESPRESSO input):
```
&SYSTEM
  ibrav = 0, nat = 14, ntyp = 3
/
ATOMIC_SPECIES
Mn 54.94 Mn.upf
Zn 65.41 Zn.upf
F 19.00 F.upf
ATOMIC_POSITIONS crystal
Mn 0.000 0.000 0.000
Mn 0.000 0.000 0.500
Zn 0.475 0.525 0.750
Zn 0.525 0.475 0.250
F 0.144 0.856 0.750
F 0.205 0.277 0.640
F 0.269 0.673 0.052
F 0.277 0.205 0.140
F 0.327 0.731 0.448
F 0.673 0.269 0.552
F 0.723 0.795 0.860
F 0.731 0.327 0.948
F 0.795 0.723 0.360
F 0.856 0.144 0.250
CELL_PARAMETERS angstrom
4.392 -3.033 0.000
4.392 3.033 0.000
-3.848 0.000 7.030
```

Values from the calculation:
Its energy relative to the lowest polymorph listed for this composition is 0.000 eV per atom. As for the space-group type: C2/c (15).